# 1
Zr5Ni2 | PBE-GGA | relaxed

Cell: 5.774 6.292 8.276 Å, 95.15 110.41 90.00°
Atoms (fractional coordinates):
Zr: 0.185 0.422 0.190
Zr: 0.995 0.078 0.810
Zr: 0.163 0.719 0.559
Zr: 0.603 0.781 0.441
Zr: 0.837 0.281 0.441
Zr: 0.397 0.219 0.559
Zr: 0.005 0.922 0.190
Zr: 0.815 0.578 0.810
Zr: 0.601 0.250 0.000
Zr: 0.399 0.750 0.000
Ni: 0.229 0.422 0.781
Ni: 0.448 0.078 0.219
Ni: 0.771 0.578 0.219
Ni: 0.552 0.922 0.781

Properties
- volume (Å³/cell) = 280
- magnetization (μB per formula unit) = 0.000
- symmetry = C2/c

---

# 2
Zr2Ni | PBE-GGA | relaxed

Cell: 4.758 4.758 2.786 Å, 90.00 90.00 120.00°
Atoms (fractional coordinates):
Zr: 0.667 0.333 0.000
Zr: 0.333 0.667 0.000
Ni: 0.000 0.000 0.500

Properties
- volume (Å³/cell) = 55
- magnetization (μB per formula unit) = 0.000
- symmetry = P6/mmm

---

# 3
Zr4Ni | PBE-GGA | relaxed

Cell: 8.336 8.336 8.336 Å, 153.74 153.74 37.48°
Atoms (fractional coordinates):
Zr: 0.250 0.750 0.500
Zr: 0.584 0.584 0.000
Zr: 0.416 0.416 0.000
Zr: 0.750 0.250 0.500
Ni: 0.000 0.000 0.000

Properties
- volume (Å³/cell) = 113
- magnetization (μB per formula unit) = 0.234
- symmetry = I4/mmm
- energy above the lowest structure with this stoichiometry (meV per atom) = 800

---

# 4
Zr3Ni2 | PBE-GGA | relaxed

Cell: 4.502 4.502 5.412 Å, 90.00 90.00 120.00°
Atoms (fractional coordinates):
Zr: 0.000 0.000 0.000
Zr: 0.667 0.333 0.655
Zr: 0.333 0.667 0.345
Ni: 0.667 0.333 0.157
Ni: 0.333 0.667 0.843

Properties
- volume (Å³/cell) = 95
- magnetization (μB per formula unit) = 0.011
- symmetry = P-3m1
- energy above the lowest structure with this stoichiometry (meV per atom) = 148

---

# 5
Zr3Ni2 | PBE-GGA | relaxed

Cell: 10.511 10.511 10.511 Å, 17.67 17.67 17.67°
Atoms (fractional coordinates):
Zr: 0.000 0.000 0.000
Zr: 0.792 0.792 0.792
Zr: 0.208 0.208 0.208
Ni: 0.606 0.606 0.606
Ni: 0.394 0.394 0.394

Properties
- volume (Å³/cell) = 93
- magnetization (μB per formula unit) = 0.000
- symmetry = R-3m
- energy above the lowest structure with this stoichiometry (meV per atom) = 224

---

# 6
Zr3Ni2 | PBE-GGA | relaxed

Cell: 8.286 7.347 5.503 Å, 78.87 60.46 40.66°
Atoms (fractional coordinates):
Zr: 0.485 0.736 0.444
Zr: 0.335 0.444 0.736
Zr: 0.514 0.765 0.915
Zr: 0.806 0.915 0.765
Zr: 0.898 0.102 0.102
Zr: 0.148 0.352 0.352
Ni: 0.920 0.187 0.532
Ni: 0.361 0.532 0.187
Ni: 0.063 0.330 0.889
Ni: 0.718 0.889 0.330

Properties
- volume (Å³/cell) = 180
- magnetization (μB per formula unit) = 0.000
- symmetry = Fdd2
- energy above the lowest structure with this stoichiometry (meV per atom) = 137

---

# 7
ZrNi2 | PBE-GGA | relaxed

Cell: 4.201 4.201 4.201 Å, 60.00 60.00 60.00°
Atoms (fractional coordinates):
Ni: 0.750 0.750 0.750
Ni: 0.250 0.250 0.250
Zr: 0.000 0.000 0.000

Properties
- volume (Å³/cell) = 52
- magnetization (μB per formula unit) = 0.000
- symmetry = Fm-3m

---

# 8
ZrNi2 | PBE-GGA | relaxed

Cell: 4.511 4.634 5.057 Å, 72.92 84.21 60.98°
Atoms (fractional coordinates):
Zr: 0.678 0.599 0.707
Zr: 0.322 0.401 0.293
Ni: 0.668 0.756 0.175
Ni: 0.332 0.244 0.825
Ni: 0.992 0.079 0.226
Ni: 0.008 0.921 0.774

Properties
- volume (Å³/cell) = 88
- magnetization (μB per formula unit) = 0.000
- symmetry = P-1

---

# 9
Zr2Ni17 | PBE-GGA | relaxed

Cell: 6.174 6.174 6.174 Å, 82.72 82.72 82.72°
Site moments in Bohr magnetons follow the coordinates.
Atoms (fractional coordinates):
Zr: 0.336 0.336 0.336  -0.12
Zr: 0.664 0.664 0.664  -0.12
Ni: 0.652 0.652 0.158  0.38
Ni: 0.158 0.652 0.652  0.38
Ni: 0.899 0.899 0.899  0.28
Ni: 0.101 0.101 0.101  0.28
Ni: 0.000 0.000 0.500  0.45
Ni: 0.000 0.500 0.000  0.45
Ni: 0.500 0.000 0.000  0.45
Ni: 0.303 0.697 0.000  0.32
Ni: 0.697 0.000 0.303  0.32
Ni: 0.000 0.303 0.697  0.32
Ni: 0.697 0.303 0.000  0.32
Ni: 0.303 0.000 0.697  0.32
Ni: 0.000 0.697 0.303  0.32
Ni: 0.842 0.348 0.348  0.38
Ni: 0.348 0.348 0.842  0.38
Ni: 0.348 0.842 0.348  0.38
Ni: 0.652 0.158 0.652  0.38

Properties
- volume (Å³/cell) = 230
- magnetization (μB per formula unit) = 5.467
- symmetry = R-3m

---

# 10
Zr4Ni | PBE-GGA | relaxed

Cell: 6.937 6.937 6.937 Å, 60.00 60.00 60.00°
Atoms (fractional coordinates):
Zr: 0.860 0.860 0.860
Zr: 0.860 0.420 0.860
Zr: 0.860 0.860 0.420
Zr: 0.390 0.830 0.390
Zr: 0.390 0.390 0.390
Zr: 0.420 0.860 0.860
Zr: 0.390 0.390 0.830
Zr: 0.830 0.390 0.390
Ni: 0.250 0.250 0.250
Ni: 0.000 0.000 0.000

Properties
- volume (Å³/cell) = 236
- magnetization (μB per formula unit) = 0.000
- symmetry = Fd-3m
- energy above the lowest structure with this stoichiometry (meV per atom) = 598

---

no.,energy of formation (eV per atom),uncorrected energy (eV per cell)
1,-0.2010,-111.4
2,0.2883,-22.0
3,0.6530,-36.7
4,-0.1350,-37.9
5,-0.0596,-37.5
6,-0.1467,-75.9
7,0.2381,-19.4
8,-0.3397,-42.3
9,-0.1676,-118.6
10,0.4512,-75.4